# MgTlGaO2 PBE relaxed
data_MgTlGaO2
_chemical_formula_sum 'Mg1 Tl1 Ga1 O2'
_space_group_name_H-M_alt 'P 4/m m m'
_space_group_IT_number 123
_space_group_name_Hall '-P 4 2'
_cell_length_a 3.9685
_cell_length_b 3.9685
_cell_length_c 5.5252
_cell_angle_alpha 90.00
_cell_angle_beta 90.00
_cell_angle_gamma 90.00
loop_
_atom_site_label
_atom_site_type_symbol
_atom_site_fract_x
_atom_site_fract_y
_atom_site_fract_z
_atom_site_occupancy
Mg1 Mg 0.0000 0.0000 0.0000 1
Tl1 Tl 0.5000 0.5000 0.0000 1
Ga1 Ga 0.0000 0.0000 0.5000 1
O1 O 0.0000 0.5000 0.5000 1
# Total magnetization   0.00 μB/atom
# Mass density   6.31 g/cm³
# Formation energy from raw total energies   -0.36 eV per atom